Computed, not measured: a geometry-optimized La3Y2ErCoTe2 structure at the GGA-PBE level of DFT.

Calculated values
Size of the total moment ... 1.02 μB per cell
Total energy ... -5.800 eV per atom
Volume ... 28.8 Å³ per atom

abc: 4.1037 14.7462 8.5569
angles: 90.00 90.00 90.00
Space group Amm2 (No. 38)
One atom of each set of equivalent atoms:
La1 0.0000 0.0000 0.0000
La2 0.0000 0.2003 0.6075
Y1 0.5000 0.1146 0.2901
Er1 0.5000 0.0000 0.6319
Co1 0.0000 0.0000 0.4139
Te1 0.5000 0.1670 0.9062